Below is an optimized crystal structure of Li2MgNiSe, with properties calculated at the PBE level.

Calculated total energy = -3.057 eV/atom
Formation energy without anion corrections = -0.597 eV per formula unit

Cell lengths 4.7899, 4.3242, 4.7899 Å; angles 90.00, 90.00, 90.00 degrees
With the nearest neighbours (Å) after each atom.
Fractional positions:
Mg 0.5000 0.5000 0.5000  8 Li 3.23, 4 Se 3.39
Ni 0.0000 0.0000 0.0000  2 Se 2.16, 4 Li 2.39
Se 0.0000 0.5000 0.0000  2 Ni 2.16
Li 0.0000 0.0000 0.5000  2 Ni 2.39
Li 0.5000 0.0000 0.0000  2 Ni 2.39